Model w:
# LiCa2Er

An optimized crystal structure of LiCa2Er (PBE, Alexandria via LeMat-Bulk).

Lattice parameters (Å, degrees): 3.6978 3.6978 11.7155 80.92 80.92 60.00
Atoms (fractional coordinates):
Li (0.6666, 0.6666, 0.0003)
Ca (0.0808, 0.0808, 0.7575)
Ca (0.2524, 0.2524, 0.2429)
Er (0.5003, 0.5003, 0.4992)

Properties
- V: 34.102 A^3/atom
- ρ: 3.1 g/cm³



Model x:
# LiCa2Er

An optimized crystal structure of LiCa2Er (PBE, Alexandria via LeMat-Bulk).

Lattice parameters (Å, degrees): 3.5649 3.5649 12.6723 81.91 81.91 60.00
Atoms (fractional coordinates):
Ca (0.0908, 0.0908, 0.7276)
Ca (0.9092, 0.9092, 0.2724)
Li (0.5000, 0.5000, 0.5000)
Er (0.0000, 0.0000, 0.0000)

Properties
- V: 34.404 A^3/atom
- ρ: 3.1 g/cm³



Model y:
# LiCa2Er

An optimized crystal structure of LiCa2Er (PBE, Alexandria via LeMat-Bulk).

Lattice parameters (Å, degrees): 4.0525 4.0525 8.0592 90.00 90.00 90.00
Atoms (fractional coordinates):
Ca (0.0000, 0.0000, 0.7645)
Ca (0.0000, 0.0000, 0.2355)
Li (0.5000, 0.5000, 0.0000)
Er (0.5000, 0.5000, 0.5000)

Properties
- V: 33.088 A^3/atom
- ρ: 3.2 g/cm³



On energetic grounds, model y is preferred over the next structure by 0.011 eV/atom.



Model w:
# LiCaEr

An optimized crystal structure of LiCaEr (PBE, Alexandria via LeMat-Bulk).

Lattice parameters (Å, degrees): 3.5625 3.5625 8.5278 90.00 90.00 120.00
Atoms (fractional coordinates):
Ca (0.3333, 0.6667, 0.6593)
Li (0.6667, 0.3333, 0.3243)
Er (0.0000, 0.0000, 0.0165)

Properties
- V: 31.243 A^3/atom
- ρ: 3.8 g/cm³



Model x:
# LiCaEr

An optimized crystal structure of LiCaEr (PBE, Alexandria via LeMat-Bulk).

Lattice parameters (Å, degrees): 3.7125 3.7125 7.0723 105.22 105.22 90.00
Atoms (fractional coordinates):
Ca (0.0158, 0.0158, 0.0316)
Li (0.6713, 0.6713, 0.3425)
Er (0.3129, 0.3129, 0.6259)

Properties
- V: 30.170 A^3/atom
- ρ: 3.9 g/cm³



On energetic grounds, model x is preferred over the next structure by 0.032 eV/atom.



Model w:
# CaErMg

An optimized crystal structure of CaErMg (PBE, Alexandria via LeMat-Bulk).

Lattice parameters (Å, degrees): 3.7121 3.7121 7.2854 104.76 104.76 90.00
Atoms (fractional coordinates):
Ca (0.0126, 0.0126, 0.0251)
Mg (0.6729, 0.6729, 0.3458)
Er (0.3145, 0.3145, 0.6290)

Properties
- V: 31.216 A^3/atom
- ρ: 4.1 g/cm³



Model x:
# CaErMg

An optimized crystal structure of CaErMg (PBE, Alexandria via LeMat-Bulk).

Lattice parameters (Å, degrees): 3.7171 3.7171 13.5524 90.00 90.00 90.00
Atoms (fractional coordinates):
Ca (0.0000, 0.5000, 0.8909)
Ca (0.5000, 0.0000, 0.1091)
Er (0.0000, 0.5000, 0.5836)
Er (0.5000, 0.0000, 0.4164)
Mg (0.5000, 0.0000, 0.7301)
Mg (0.0000, 0.5000, 0.2699)

Properties
- V: 31.208 A^3/atom
- ρ: 4.1 g/cm³



Model y:
# CaErMg

An optimized crystal structure of CaErMg (PBE, Alexandria via LeMat-Bulk).

Lattice parameters (Å, degrees): 3.3814 5.6144 5.6144 120.00 90.00 90.00
Atoms (fractional coordinates):
Ca (0.6221, 0.6667, 0.3333)
Mg (0.3688, 0.3333, 0.6667)
Er (0.0091, 0.0000, 0.0000)

Properties
- V: 30.769 A^3/atom
- ρ: 4.2 g/cm³



Model z:
# CaErMg

An optimized crystal structure of CaErMg (PBE, Alexandria via LeMat-Bulk).

Lattice parameters (Å, degrees): 5.3339 5.3339 7.6769 90.00 90.00 90.00
Atoms (fractional coordinates):
Ca (0.5000, 0.5000, 0.5000)
Ca (0.0000, 0.0000, 0.5000)
Er (0.5000, 0.5000, 0.0000)
Er (0.0000, 0.0000, 0.0000)
Mg (0.5000, 0.0000, 0.7657)
Mg (0.0000, 0.5000, 0.2343)

Properties
- V: 36.402 A^3/atom
- ρ: 3.5 g/cm³



On energetic grounds, model x is preferred over the next structure by 0.054 eV/atom.



Model w:
# Ca2ErMg

An optimized crystal structure of Ca2ErMg (PBE, Alexandria via LeMat-Bulk).

Lattice parameters (Å, degrees): 5.2937 5.0139 5.0139 90.00 90.00 90.00
Atoms (fractional coordinates):
Ca (0.0000, 0.0000, 0.5000)
Ca (0.0000, 0.5000, 0.0000)
Mg (0.5000, 0.0000, 0.0000)
Er (0.5000, 0.5000, 0.5000)

Properties
- V: 33.270 A^3/atom
- ρ: 3.4 g/cm³



Model x:
# Ca2ErMg

An optimized crystal structure of Ca2ErMg (PBE, Alexandria via LeMat-Bulk).

Lattice parameters (Å, degrees): 3.6655 3.6655 11.8486 81.10 81.10 60.00
Atoms (fractional coordinates):
Ca (0.0801, 0.0801, 0.7596)
Ca (0.2532, 0.2532, 0.2405)
Er (0.5003, 0.5003, 0.4992)
Mg (0.6664, 0.6664, 0.0007)

Properties
- V: 33.912 A^3/atom
- ρ: 3.3 g/cm³



Model y:
# Ca2ErMg

An optimized crystal structure of Ca2ErMg (PBE, Alexandria via LeMat-Bulk).

Lattice parameters (Å, degrees): 5.7260 5.7260 5.7260 60.00 60.00 60.00
Atoms (fractional coordinates):
Ca (0.2500, 0.2500, 0.2500)
Ca (0.7500, 0.7500, 0.7500)
Mg (0.5000, 0.5000, 0.5000)
Er (0.0000, 0.0000, 0.0000)

Properties
- V: 33.187 A^3/atom
- ρ: 3.4 g/cm³



On energetic grounds, model w is preferred over the next structure by 0.012 eV/atom.



Model w:
# Ca2ErMg

An optimized crystal structure of Ca2ErMg (PBE, Alexandria via LeMat-Bulk).

Lattice parameters (Å, degrees): 4.1624 4.1624 7.6488 90.00 90.00 90.00
Atoms (fractional coordinates):
Ca (0.0000, 0.0000, 0.7617)
Ca (0.0000, 0.0000, 0.2383)
Mg (0.5000, 0.5000, 0.0000)
Er (0.5000, 0.5000, 0.5000)

Properties
- V: 33.130 A^3/atom
- ρ: 3.4 g/cm³



Model x:
# Ca2ErMg

An optimized crystal structure of Ca2ErMg (PBE, Alexandria via LeMat-Bulk).

Lattice parameters (Å, degrees): 3.5594 3.5594 12.6044 81.88 81.88 60.00
Atoms (fractional coordinates):
Ca (0.0912, 0.0912, 0.7264)
Ca (0.9088, 0.9088, 0.2736)
Mg (0.5000, 0.5000, 0.5000)
Er (0.0000, 0.0000, 0.0000)

Properties
- V: 34.111 A^3/atom
- ρ: 3.3 g/cm³



On energetic grounds, model w is preferred over the next structure by 0.155 eV/atom.



Model w:
# CaPmErMg

An optimized crystal structure of CaPmErMg (PBE, Alexandria via LeMat-Bulk).

Lattice parameters (Å, degrees): 5.6386 5.6386 5.6386 60.00 60.00 60.00
Atoms (fractional coordinates):
Ca (0.2500, 0.2500, 0.2500)
Pm (0.7500, 0.7500, 0.7500)
Mg (0.0000, 0.0000, 0.0000)
Er (0.5000, 0.5000, 0.5000)

Properties
- V: 31.691 A^3/atom
- ρ: 4.9 g/cm³



Model x:
# CaPmErMg

An optimized crystal structure of CaPmErMg (PBE, Alexandria via LeMat-Bulk).

Lattice parameters (Å, degrees): 3.6246 3.6246 9.7346 90.00 90.00 90.00
Atoms (fractional coordinates):
Ca (0.0000, 0.0000, 0.0963)
Pm (0.5000, 0.5000, 0.7998)
Er (0.0000, 0.0000, 0.5525)
Mg (0.5000, 0.5000, 0.3360)

Properties
- V: 31.973 A^3/atom
- ρ: 4.9 g/cm³



On energetic grounds, model x is preferred over the next structure by 0.091 eV/atom.



Model w:
# CaSmErMg

An optimized crystal structure of CaSmErMg (PBE, Alexandria via LeMat-Bulk).

Lattice parameters (Å, degrees): 3.6169 3.6169 9.7314 90.00 90.00 90.00
Atoms (fractional coordinates):
Ca (0.0000, 0.0000, 0.0953)
Sm (0.5000, 0.5000, 0.7998)
Er (0.0000, 0.0000, 0.5537)
Mg (0.5000, 0.5000, 0.3359)

Properties
- V: 31.827 A^3/atom
- ρ: 5.0 g/cm³



Model x:
# CaSmErMg

An optimized crystal structure of CaSmErMg (PBE, Alexandria via LeMat-Bulk).

Lattice parameters (Å, degrees): 5.5968 5.5968 5.5968 60.00 60.00 60.00
Atoms (fractional coordinates):
Ca (0.5000, 0.5000, 0.5000)
Mg (0.0000, 0.0000, 0.0000)
Sm (0.2500, 0.2500, 0.2500)
Er (0.7500, 0.7500, 0.7500)

Properties
- V: 30.992 A^3/atom
- ρ: 5.1 g/cm³



On energetic grounds, model w is preferred over the next structure by 0.085 eV/atom.



Model w:
# CaErMgZn

An optimized crystal structure of CaErMgZn (PBE, Alexandria via LeMat-Bulk).

Lattice parameters (Å, degrees): 5.2592 5.2592 5.2592 60.00 60.00 60.00
Atoms (fractional coordinates):
Mg (0.5000, 0.5000, 0.5000)
Zn (0.0000, 0.0000, 0.0000)
Ca (0.2500, 0.2500, 0.2500)
Er (0.7500, 0.7500, 0.7500)

Properties
- V: 25.715 A^3/atom
- ρ: 4.8 g/cm³



Model x:
# CaErMgZn

An optimized crystal structure of CaErMgZn (PBE, Alexandria via LeMat-Bulk).

Lattice parameters (Å, degrees): 3.6600 3.6600 7.7844 90.00 90.00 90.00
Atoms (fractional coordinates):
Ca (0.0000, 0.0000, 0.8809)
Er (0.0000, 0.0000, 0.3278)
Mg (0.5000, 0.5000, 0.5928)
Zn (0.5000, 0.5000, 0.1265)

Properties
- V: 26.070 A^3/atom
- ρ: 4.7 g/cm³



On energetic grounds, model x is preferred over the next structure by 0.055 eV/atom.



Model w:
# CaNdEr

An optimized crystal structure of CaNdEr (PBE, Alexandria via LeMat-Bulk).

Lattice parameters (Å, degrees): 3.6538 3.6538 9.1328 90.00 90.00 120.00
Atoms (fractional coordinates):
Ca (0.0000, 0.0000, 0.0055)
Nd (0.3333, 0.6667, 0.6498)
Er (0.6667, 0.3333, 0.3447)

Properties
- V: 35.196 A^3/atom
- ρ: 5.5 g/cm³



Model x:
# CaNdEr

An optimized crystal structure of CaNdEr (PBE, Alexandria via LeMat-Bulk).

Lattice parameters (Å, degrees): 3.6046 3.6046 18.9558 90.00 90.00 120.00
Atoms (fractional coordinates):
Er (0.3333, 0.6667, 0.1555)
Er (0.6667, 0.3333, 0.6555)
Ca (0.6667, 0.3333, 0.8366)
Ca (0.3333, 0.6667, 0.3366)
Nd (0.0000, 0.0000, 0.0079)
Nd (0.0000, 0.0000, 0.5079)

Properties
- V: 35.550 A^3/atom
- ρ: 5.5 g/cm³



On energetic grounds, model w is preferred over the next structure by 0.069 eV/atom.



Model w:
# CaNd4Er

An optimized crystal structure of CaNd4Er (PBE, Alexandria via LeMat-Bulk).

Lattice parameters (Å, degrees): 3.6348 5.2217 11.1058 90.00 89.94 89.99
Atoms (fractional coordinates):
Ca (0.0000, 0.5000, 0.0000)
Nd (0.4986, 0.0002, 0.8178)
Nd (0.5014, 0.9998, 0.1822)
Nd (0.9990, 0.5002, 0.6593)
Nd (0.0010, 0.4998, 0.3407)
Er (0.5000, 0.0000, 0.5000)

Properties
- V: 35.132 A^3/atom
- ρ: 6.2 g/cm³



Model x:
# CaNd4Er

An optimized crystal structure of CaNd4Er (PBE, Alexandria via LeMat-Bulk).

Lattice parameters (Å, degrees): 6.7911 6.7911 6.7911 60.00 60.00 60.00
Atoms (fractional coordinates):
Ca (0.2500, 0.2500, 0.2500)
Nd (0.6268, 0.6268, 0.1196)
Nd (0.6268, 0.1196, 0.6268)
Nd (0.6268, 0.6268, 0.6268)
Nd (0.1196, 0.6268, 0.6268)
Er (0.0000, 0.0000, 0.0000)

Properties
- V: 36.910 A^3/atom
- ρ: 5.9 g/cm³



On energetic grounds, model w is preferred over the next structure by 0.181 eV/atom.



Model w:
# CaNd3Er

An optimized crystal structure of CaNd3Er (PBE, Alexandria via LeMat-Bulk).

Lattice parameters (Å, degrees): 6.2243 6.2243 12.3006 75.34 75.34 60.00
Atoms (fractional coordinates):
Ca (0.3330, 0.3330, 0.0009)
Ca (0.6669, 0.6669, 0.9992)
Nd (0.0982, 0.4181, 0.7333)
Nd (0.7504, 0.0982, 0.7333)
Nd (0.5819, 0.2496, 0.2667)
Nd (0.2496, 0.9018, 0.2667)
Nd (0.9018, 0.5819, 0.2667)
Nd (0.4181, 0.7504, 0.7333)
Er (0.1664, 0.1664, 0.5008)
Er (0.8336, 0.8336, 0.4992)

Properties
- V: 39.469 A^3/atom
- ρ: 5.4 g/cm³



Model x:
# CaNd3Er

An optimized crystal structure of CaNd3Er (PBE, Alexandria via LeMat-Bulk).

Lattice parameters (Å, degrees): 5.6243 7.2614 14.1657 140.34 101.45 90.00
Atoms (fractional coordinates):
Ca (0.6091, 0.8281, 0.2181)
Ca (0.3909, 0.1719, 0.7819)
Nd (0.9978, 0.7532, 0.9955)
Nd (0.0022, 0.2468, 0.0045)
Nd (0.3918, 0.6787, 0.7837)
Nd (0.6082, 0.3213, 0.2163)
Nd (0.2018, 0.8569, 0.4036)
Nd (0.7982, 0.1431, 0.5964)
Er (0.8003, 0.6473, 0.6006)
Er (0.1997, 0.3527, 0.3994)

Properties
- V: 35.094 A^3/atom
- ρ: 6.1 g/cm³



On energetic grounds, model x is preferred over the next structure by 0.268 eV/atom.



Model w:
# CaErNi2

An optimized crystal structure of CaErNi2 (PBE, Alexandria via LeMat-Bulk).

Lattice parameters (Å, degrees): 3.3700 3.3700 6.8549 90.00 90.00 90.00
Atoms (fractional coordinates):
Ni (0.0000, 0.0000, 0.7833)
Ni (0.0000, 0.0000, 0.2167)
Ca (0.5000, 0.5000, 0.5000)
Er (0.5000, 0.5000, 0.0000)

Properties
- V: 19.462 A^3/atom
- ρ: 6.9 g/cm³



Model x:
# CaErNi2

An optimized crystal structure of CaErNi2 (PBE, Alexandria via LeMat-Bulk).

Lattice parameters (Å, degrees): 4.7575 4.7575 4.7575 60.00 60.00 60.00
Atoms (fractional coordinates):
Ni (0.2500, 0.2500, 0.2500)
Ni (0.7500, 0.7500, 0.7500)
Ca (0.5000, 0.5000, 0.5000)
Er (0.0000, 0.0000, 0.0000)

Properties
- V: 19.036 A^3/atom
- ρ: 7.1 g/cm³



On energetic grounds, model w is preferred over the next structure by 0.067 eV/atom.